1.
Material: LiGaPt2
Method: DFT, PBE-GGA
State: optimized geometry

abc: 3.1120 3.1120 5.7856
angles: 90.00 90.00 90.00
Positions (direct):
Ga1 0.5000 0.5000 0.5000
Pt1 0.0000 0.0000 0.2482
Pt2 0.0000 0.0000 0.7518
Li1 0.5000 0.5000 0.0000

Properties
energy of formation from the pure elements: -651 meV per atom
uncorrected energy: -4.907 eV/atom
theoretical density: 13.8 Mg/m³

2.
Material: PSeBr2
Method: DFT, PBE-GGA
State: optimized geometry

abc: 6.6762 6.6762 5.6370
angles: 89.84 89.84 30.30
Positions (direct):
Se1 0.8132 0.8132 0.6346
Br1 0.0245 0.0245 0.9327
P1 0.4404 0.4404 0.6376
Br2 0.2219 0.2219 0.2951

Properties
raw formation energy: 0.186 eV/atom
uncorrected energy: -2.874 eV/atom
relative energy among the computed polymorphs: 244.2 meV/atom
theoretical density: 3.5 Mg/m³

3.
Material: KSiNiAg2
Method: DFT, PBE-GGA
State: optimized geometry

abc: 5.1303 4.2873 5.1303
angles: 90.00 90.00 90.00
Positions (direct):
Si1 0.0000 0.5000 0.0000
Ag1 0.0000 0.0000 0.5000
Ag2 0.5000 0.0000 0.0000
K1 0.5000 0.5000 0.5000
Ni1 0.0000 0.0000 0.0000

Properties
raw formation energy: 0.148 eV/atom
uncorrected energy: -3.453 eV/atom
theoretical density: 5.0 Mg/m³